The following is a DFT calculation (PBE with a Hubbard U) of Ce4MnSe6O after structural relaxation.

Values from the calculation:
energy = -158.510 eV/cell
M_tot = 18.03 μB/cell
crystal system = hexagonal

Unit cell a=9.666 b=9.666 c=7.073 alpha=90.00 beta=90.00 gamma=120.00
Fractional coordinates of all 24 atoms:
Ce 0.201 0.403 0.000
Ce 0.201 0.799 0.000
Ce 0.333 0.667 0.550
Ce 0.403 0.201 0.500
Ce 0.597 0.799 0.000
Ce 0.667 0.333 0.050
Ce 0.799 0.201 0.500
Ce 0.799 0.597 0.500
Mn 0.000 0.000 0.337
Mn 0.000 0.000 0.837
Se 0.059 0.530 0.286
Se 0.128 0.255 0.603
Se 0.128 0.872 0.603
Se 0.255 0.128 0.103
Se 0.470 0.530 0.286
Se 0.470 0.941 0.286
Se 0.530 0.059 0.786
Se 0.530 0.470 0.786
Se 0.745 0.872 0.603
Se 0.872 0.128 0.103
Se 0.872 0.745 0.103
Se 0.941 0.470 0.786
O 0.333 0.667 0.889
O 0.667 0.333 0.389